## NbTeN (PBE-GGA)

Data for a relaxed NbTeN crystal. Values from VASP.

Results
The density of states at the Fermi level is 2.844 states/eV/cell. As for the space-group type: P4/nmm (129). The uncorrected energy comes out at -7.696 eV per atom.

Quantum ESPRESSO input file:
```
&SYSTEM
  ibrav = 0, nat = 6, ntyp = 3
/
ATOMIC_SPECIES
Nb 92.91 Nb.upf
Te 127.60 Te.upf
N 14.01 N.upf
CELL_PARAMETERS angstrom
-3.485 0.823 0.139
-0.172 -1.295 3.337
2.162 8.570 3.438
ATOMIC_POSITIONS crystal
Nb 0.500 0.000 0.115
Nb 0.000 0.500 0.885
Te 0.500 0.000 0.696
Te 0.000 0.500 0.304
N 0.500 0.500 0.000
N 0.000 0.000 0.000
```